Computed, not measured: a relaxed CsUSiO6 crystal at the PBE-GGA level of DFT.

Magnetic moment in μB per atom: 0.0879
Raw formation energy in eV/f.u.: -21.54
Theoretical density in g/cm³: 5.1

The structure in POSCAR format:
```
CsUSiO6
1.0
5.2368 0.0000 0.0000
-2.6184 4.5352 0.0000
0.0000 0.0000 6.8110
Cs U Si O
1 1 1 6
direct
0.0000 0.0000 0.0000 Cs
0.3333 0.6667 0.5000 U
0.6667 0.3333 0.5000 Si
0.3986 0.0382 0.6528 O
0.3986 0.3603 0.3472 O
0.6397 0.0382 0.3472 O
0.6397 0.6014 0.6528 O
0.9618 0.3603 0.6528 O
0.9618 0.6014 0.3472 O
```